1.
NpNb2Os, relaxed, DFT GGA-PBE; relative energy among the computed polymorphs = 0.46 kJ/mol of atoms; crystal system = tetragonal; M_tot = 3.20 μB per cell; formation energy = 151.1 meV/atom; energy = -0.402 hartree per atom; N(E_F) = 6.6 states/eV per cell
1.0
4.7788 0.0000 0.0000
0.0000 4.7788 0.0000
0.0000 0.0000 3.1142
Np Nb Os
1 2 1
Direct
0.0000 0.0000 0.0000 Np
0.0000 0.5000 0.5000 Nb
0.5000 0.0000 0.5000 Nb
0.5000 0.5000 0.0000 Os

=====

2.
ZnCr2Au, relaxed, DFT GGA-PBE; crystal system = tetragonal; M_tot = 3.83 μB per cell; formation energy = 274.8 meV/atom; energy = -0.209 hartree per atom; N(E_F) = 4.6 states/eV per cell
1.0
2.7834 0.0000 0.0000
0.0000 2.7834 0.0000
0.0000 0.0000 7.4797
Zn Cr Au
1 2 1
Direct
0.0000 0.0000 0.0000 Zn
0.0000 0.0000 0.5425 Cr
0.5000 0.5000 0.7565 Cr
0.5000 0.5000 0.2715 Au

=====

3.
YCd6Ag5, relaxed, DFT GGA-PBE; crystal system = orthorhombic; M_tot = 0.00 μB per cell; formation energy = -103.9 meV/atom; energy = -0.084 hartree per atom; N(E_F) = 4.7 states/eV per cell
1.0
-2.3248 4.1773 6.3813
2.3248 -4.1773 6.3813
2.3248 4.1773 -6.3813
Y Cd Ag
1 6 5
Direct
0.0000 0.0000 0.0000 Y
0.1081 0.8300 0.2781 Cd
0.2797 0.5000 0.7797 Cd
0.4482 0.1700 0.2781 Cd
0.5518 0.8300 0.7219 Cd
0.7203 0.5000 0.2203 Cd
0.8919 0.1700 0.7219 Cd
0.1547 0.6547 0.5000 Ag
0.3066 0.3066 0.0000 Ag
0.5000 0.0000 0.5000 Ag
0.6934 0.6934 0.0000 Ag
0.8453 0.3453 0.5000 Ag

=====

4.
SrSbAsS2, relaxed, DFT GGA-PBE; formation energy from raw total energies = 7.3 kJ/mol of atoms; crystal system = tetragonal; M_tot = 0.00 μB per cell; energy = -0.135 hartree per atom; N(E_F) = 7.4 states/eV per cell
1.0
4.9005 0.0000 0.0000
0.0000 4.9005 0.0000
0.0000 0.0000 5.8449
Sr Sb As S
1 1 1 2
Direct
0.0000 0.0000 0.0000 Sr
0.5000 0.5000 0.0000 Sb
0.0000 0.0000 0.5000 As
0.0000 0.5000 0.5000 S
0.5000 0.0000 0.5000 S

=====

5.
YMg2Sc, relaxed, DFT GGA-PBE; relative energy among the computed polymorphs = 0.00 kJ/mol of atoms; crystal system = cubic; M_tot = 0.00 μB per cell; formation energy = -69.1 meV/atom; energy = -0.149 hartree per atom; N(E_F) = 5.3 states/eV per cell
1.0
0.0000 3.6993 3.6993
3.6993 0.0000 3.6993
3.6993 3.6993 0.0000
Y Mg Sc
1 2 1
Direct
0.0000 0.0000 0.0000 Y
0.2500 0.2500 0.2500 Mg
0.7500 0.7500 0.7500 Mg
0.5000 0.5000 0.5000 Sc

=====

6.
LiLaRu2C, relaxed, DFT GGA-PBE; crystal system = tetragonal; M_tot = 0.00 μB per cell; formation energy = -80.2 meV/atom; energy = -0.257 hartree per atom; N(E_F) = 2.2 states/eV per cell
1.0
4.1811 0.0000 0.0000
0.0000 4.1811 0.0000
0.0000 0.0000 4.3349
Li La Ru C
1 1 2 1
Direct
0.0000 0.0000 0.0000 Li
0.5000 0.5000 0.0000 La
0.0000 0.5000 0.5000 Ru
0.5000 0.0000 0.5000 Ru
0.0000 0.0000 0.5000 C

=====

7.
BaNa2BiO, relaxed, DFT GGA-PBE; formation energy from raw total energies = -99.3 kJ/mol of atoms; crystal system = tetragonal; M_tot = 0.06 μB per cell; energy = -0.136 hartree per atom; N(E_F) = 4.9 states/eV per cell
1.0
5.1064 0.0000 0.0000
0.0000 5.1064 0.0000
0.0000 0.0000 5.2011
Ba Na Bi O
1 2 1 1
Direct
0.0000 0.0000 0.0000 Ba
0.0000 0.5000 0.5000 Na
0.5000 0.0000 0.5000 Na
0.5000 0.5000 0.0000 Bi
0.0000 0.0000 0.5000 O

=====

8.
TbDy4Ni2, relaxed, DFT GGA-PBE; crystal system = monoclinic; M_tot = 0.00 μB per cell; formation energy = -149.5 meV/atom; energy = -0.187 hartree per atom; N(E_F) = 18.4 states/eV per cell
1.0
7.4785 0.0000 0.0000
0.0000 6.4008 0.0000
-3.0202 0.0000 7.3135
Tb Dy Ni
2 8 4
Direct
0.1488 0.2500 0.0270 Tb
0.8512 0.7500 0.9730 Tb
0.0267 0.2500 0.3868 Dy
0.2516 0.7500 0.3457 Dy
0.4075 0.0050 0.7679 Dy
0.4075 0.4950 0.7679 Dy
0.5925 0.5050 0.2321 Dy
0.5925 0.9950 0.2321 Dy
0.7484 0.2500 0.6543 Dy
0.9733 0.7500 0.6132 Dy
0.2568 0.7500 0.9952 Ni
0.3814 0.2500 0.4106 Ni
0.6186 0.7500 0.5894 Ni
0.7432 0.2500 0.0048 Ni